Mg2ScTi, relaxed, DFT PBE-GGA; SG = I-42d; energy above the most stable polymorph in this dataset = 1.437 eV per formula unit; uncorrected energy = -31.0 eV for the cell shown; D(E_F) = 3.94 states/eV/f.u.
1.0
7.884 0.000 0.000
0.000 7.884 0.000
3.942 3.942 2.893
Ti Mg Sc
2 4 2
Direct
0.000 0.000 0.000 Ti
0.750 0.250 0.500 Ti
0.113 0.625 0.250 Mg
0.637 0.125 0.250 Mg
0.375 0.363 0.750 Mg
0.875 0.887 0.750 Mg
0.250 0.750 0.500 Sc
0.500 0.500 0.000 Sc